[1]
The following is a DFT calculation (GGA-PBEsol) of a relaxed Mn2CrCo crystal.

Cell lengths 8.2023, 8.2023, 8.2023 Å; angles 17.14, 17.14, 17.14 degrees
Sites, in units of the cell vectors:
1 Mn 0.2484 0.2484 0.2484
2 Mn 0.7516 0.7516 0.7516
3 Cr 0.0000 0.0000 0.0000
4 Co 0.5000 0.5000 0.5000

Calculated values
SG ... No. 166

[2]
The following is a DFT calculation (GGA-PBEsol) of a relaxed Mn2CrCo crystal.

Cell lengths 2.8130, 2.8130, 5.5581 Å; angles 90.00, 90.00, 90.00 degrees
Sites, in units of the cell vectors:
1 Mn 0.0000 0.0000 0.0000
2 Mn 0.5000 0.5000 0.2604
3 Cr 0.5000 0.5000 0.7641
4 Co 0.0000 0.0000 0.5085

Calculated values
SG ... No. 99

[3]
The following is a DFT calculation (GGA-PBEsol) of a relaxed Mn3Cr3Co2O16 crystal.

Cell lengths 5.6240, 5.6240, 8.5238 Å; angles 90.01, 90.01, 59.87 degrees
Sites, in units of the cell vectors:
1 Mn 0.0000 0.0000 0.0000
2 Mn 0.3374 0.8341 0.4972
3 Mn 0.8341 0.3374 0.4972
4 Cr 0.0049 0.4977 0.9910
5 Cr 0.3346 0.3346 0.4899
6 Cr 0.4977 0.0049 0.9910
7 Co 0.5059 0.5059 0.7719
8 Co 0.8392 0.8392 0.2728
9 O 0.0032 0.0032 0.3881
10 O 0.0057 0.5138 0.3915
11 O 0.1250 0.6920 0.1297
12 O 0.1689 0.1689 0.1089
13 O 0.1697 0.1697 0.6080
14 O 0.2204 0.6455 0.6290
15 O 0.3452 0.8306 0.8908
16 O 0.3458 0.3458 0.8942
17 O 0.5053 0.5053 0.3806
18 O 0.5138 0.0057 0.3915
19 O 0.6455 0.2204 0.6290
20 O 0.6499 0.6499 0.6288
21 O 0.6920 0.1250 0.1297
22 O 0.6990 0.6990 0.1278
23 O 0.8306 0.3452 0.8908
24 O 0.8373 0.8373 0.8818

Calculated values
Uncorrected formation energy ... -146 kJ/mol of atoms
SG ... No. 8

[4]
The following is a DFT calculation (GGA-PBEsol) of a relaxed CrCoMo2 crystal.

Cell lengths 4.8093, 4.8093, 4.8093 Å; angles 142.36, 128.26, 65.73 degrees
Sites, in units of the cell vectors:
1 Cr 0.0000 0.0000 0.0000
2 Co 0.5000 0.5000 0.0000
3 Mo 0.2407 0.7407 0.5000
4 Mo 0.7593 0.2593 0.5000

Calculated values
Distance to the lowest polymorph of the same formula ... 0.0 meV/atom
SG ... No. 71

[5]
The following is a DFT calculation (GGA-PBEsol) of a relaxed CrCoMo2 crystal.

Cell lengths 4.1992, 4.1992, 4.1992 Å; angles 60.00, 60.00, 60.00 degrees
Sites, in units of the cell vectors:
1 Cr 0.0000 0.0000 0.0000
2 Co 0.5000 0.5000 0.5000
3 Mo 0.2500 0.2500 0.2500
4 Mo 0.7500 0.7500 0.7500

Calculated values
Distance to the lowest polymorph of the same formula ... 13.6 meV/atom
SG ... No. 225

[6]
The following is a DFT calculation (GGA-PBEsol) of a relaxed Cr3CoMo crystal.

Cell lengths 4.1011, 4.1011, 4.1011 Å; angles 90.00, 90.00, 90.00 degrees
Sites, in units of the cell vectors:
1 Cr 0.0000 0.0000 0.5000
2 Cr 0.0000 0.5000 0.0000
3 Cr 0.5000 0.0000 0.0000
4 Co 0.0000 0.0000 0.0000
5 Mo 0.5000 0.5000 0.5000

Calculated values
SG ... No. 221

Number 1: total DFT energy (no corrections) -36.9 eV/cell, theoretical density 8.77 g cm⁻³. Number 2: total DFT energy (no corrections) -37.0 eV/cell, theoretical density 8.34 g cm⁻³. Number 3: total DFT energy (no corrections) -195.8 eV/cell, theoretical density 4.95 g cm⁻³. Number 4: total DFT energy (no corrections) -40.7 eV/cell, theoretical density 9.56 g cm⁻³. Number 5: total DFT energy (no corrections) -40.7 eV/cell, theoretical density 9.60 g cm⁻³. Number 6: total DFT energy (no corrections) -43.8 eV/cell, theoretical density 7.48 g cm⁻³.